Record 1
DFT (PBE+U) results for Li2VSi7O16 after structural relaxation.

abc: 8.6574 7.3451 7.8277
angles: 104.17 116.12 105.27
Atoms (fractional coordinates):
1 O 0.3140 0.2459 0.1910
2 O 0.1670 0.1515 0.4516
3 O 0.9810 0.2980 0.0291
4 O 0.7047 0.6806 0.8538
5 O 0.1532 0.8257 0.6648
6 O 0.1759 0.4594 0.7523
7 O 0.5867 0.0672 0.7600
8 O 0.7875 0.6652 0.5467
9 O 0.9113 0.4242 0.3718
10 O 0.7874 0.3781 0.7077
11 O 0.2847 0.1469 0.9821
12 O 0.3958 0.8345 0.0500
13 O 0.2867 0.5409 0.4175
14 O 0.8874 0.7390 0.2739
15 O 0.0506 0.7788 0.9382
16 O 0.5252 0.5409 0.0337
17 Si 0.2168 0.4204 0.1701
18 Si 0.7656 0.2878 0.8783
19 Si 0.2256 0.8951 0.9174
20 Si 0.7159 0.5736 0.0291
21 Si 0.3397 0.5816 0.9989
22 Si 0.8287 0.6193 0.7538
23 Si 0.9314 0.6584 0.4597
24 V 0.1240 0.3616 0.4825
25 Li 0.5268 0.7826 0.6740
26 Li 0.3265 0.0428 0.6118

=====

Record 2
DFT (PBE+U) results for Li5VSi2O8 after structural relaxation.

abc: 5.2846 5.2846 6.3140
angles: 89.54 89.54 91.23
Atoms (fractional coordinates):
1 Li 0.6816 0.3184 0.5000
2 Li 0.1681 0.1954 0.7354
3 Li 0.3282 0.6718 0.5000
4 Li 0.8046 0.8319 0.2646
5 Li 0.6976 0.3024 0.0000
6 O 0.6968 0.6954 0.5375
7 O 0.1333 0.7785 0.7567
8 O 0.3013 0.3093 0.0330
9 O 0.2215 0.8667 0.2433
10 O 0.7973 0.1351 0.7499
11 O 0.8649 0.2027 0.2501
12 O 0.6907 0.6987 0.9670
13 O 0.3046 0.3032 0.4625
14 Si 0.8174 0.8297 0.7438
15 Si 0.1703 0.1826 0.2562
16 V 0.3219 0.6781 0.0000

=====

Taking the records one at a time from the top gives E values of -7.1503; -6.6024 eV per atom.